The following is a DFT calculation (PBE with a Hubbard U) of an optimized crystal structure of FeMo3F.

a b c (Å): 4.2244 4.2244 4.2244
angles (deg): 90.00 90.00 90.00
Last column: nearest neighbours and their distance in Å.
Sites, in units of the cell vectors:
F (0.0000, 0.0000, 0.0000)  6 Mo 2.11
Fe (0.5000, 0.5000, 0.5000)  12 Mo 2.99
Mo (0.0000, 0.5000, 0.0000)  2 F 2.11
Mo (0.0000, 0.0000, 0.5000)  2 F 2.11
Mo (0.5000, 0.0000, 0.0000)  2 F 2.11

Results
total DFT energy (no corrections) = -19.3 eV for the cell shown
density of states at the Fermi level = 0.733 states/eV per atom
SG = Pm-3m
calculated density = 7.99 Mg/m³
total magnetization = 0.20 μB/atom